Material: ScNi2SnO6
Method: DFT, PBE+U
State: relaxed Values from VASP.

The structure in Quantum ESPRESSO input format:
```
&SYSTEM
  ibrav = 0, nat = 10, ntyp = 4
/
ATOMIC_SPECIES
Sc 44.96 Sc.upf
Ni 58.69 Ni.upf
Sn 118.71 Sn.upf
O 16.00 O.upf
CELL_PARAMETERS angstrom
5.218 0.000 0.000
2.606 4.524 0.000
0.001 3.008 4.700
ATOMIC_POSITIONS crystal
Sc 0.000 0.000 0.000
Ni 0.293 0.415 0.878
Ni 0.795 0.410 0.386
Sn 0.496 0.008 0.488
O 0.084 0.507 0.178
O 0.188 0.911 0.674
O 0.409 0.907 0.177
O 0.585 0.228 0.673
O 0.684 0.233 0.178
O 0.900 0.515 0.673
```

Computed properties:
- calculated total energy (eV for the cell shown) = -62.668
- space-group type = No. 1